# 1
This record from the Alexandria database describes TbNdYPu after structural relaxation. The functional is PBE.

Cell lengths 5.6562, 5.6562, 5.6562 Å; angles 60.00, 60.00, 60.00 degrees
Positions (direct):
Pu1 0.7500 0.7500 0.7500
Nd1 0.5000 0.5000 0.5000
Y1 0.2500 0.2500 0.2500
Tb1 0.0000 0.0000 0.0000

Calculated values
Space-group type ... F-43m
Formation energy from the elements ... 0.211 eV per atom
Theoretical density ... 8.25 g/cm3

=====

# 2
This record from the Alexandria database describes KBiP2Cl after structural relaxation. The functional is PBE.

Cell lengths 5.3395, 5.3395, 5.8454 Å; angles 90.00, 90.00, 90.00 degrees
Positions (direct):
P1 0.0000 0.5000 0.0000
P2 0.5000 0.0000 0.0000
K1 0.5000 0.5000 0.5000
Cl1 0.0000 0.0000 0.5000
Bi1 0.0000 0.0000 0.0000

Calculated values
Space-group type ... P4/mmm
E_form (uncorrected) ... 0.14 eV per atom
Polymorph energy (0 for the lowest one) ... 0.0 kJ per mole of atoms
Theoretical density ... 3.44 g/cm3

=====

# 3
This record from the Alexandria database describes Re3Te after structural relaxation. The functional is PBE.

Cell lengths 8.9059, 8.9059, 8.9059 Å; angles 19.12, 19.12, 19.12 degrees
Positions (direct):
Re1 0.2469 0.2469 0.2469
Re2 0.5000 0.5000 0.5000
Re3 0.7531 0.7531 0.7531
Te1 0.0000 0.0000 0.0000

Calculated values
Space-group type ... R-3m
E_form (uncorrected) ... 0.57 eV per atom
Polymorph energy (0 for the lowest one) ... 3.2 kJ per mole of atoms
Theoretical density ... 17.20 g/cm3

=====

no.,M_tot (μB/f.u.)
1,7.48
2,1.25
3,0.00